(1)
## Ba2BBr (GGA-PBE)

Data for a relaxed structure of Ba2BBr.

Spin magnetization: 2.01 μB/cell
Distance to the lowest polymorph of the same formula: 36 kJ/mol of formula units

```
4
Lattice="0.000 3.953 3.953 3.953 0.000 3.953 3.953 3.953 0.000" Properties=species:S:1:pos:R:3 pbc="T T T"
Ba 1.977 1.977 1.977
Ba 5.930 5.930 5.930
B 0.000 0.000 0.000
Br 3.953 3.953 3.953
```

=====

(2)
## Ba2BBr (GGA-PBE)

Data for a relaxed structure of Ba2BBr.

Spin magnetization: 4.00 μB/cell
Distance to the lowest polymorph of the same formula: 0 kJ/mol of formula units

```
8
Lattice="-4.075 4.075 4.748 4.075 -4.075 4.748 4.075 4.075 -4.748" Properties=species:S:1:pos:R:3 pbc="T T T"
Ba 6.112 1.671 -1.187
Ba 1.671 2.037 1.187
Ba -2.037 2.403 3.561
Ba 2.403 2.037 5.935
B 0.000 0.000 0.000
B 0.000 4.075 2.374
Br 4.075 0.000 2.374
Br 0.000 0.000 4.748
```